A relaxed structure of Ti2TeSe2, computed with GGA-PBE.

Computed properties:
energy relative to the lowest polymorph listed for this composition	0.0000	eV/atom
DOS(E_F)	0.968	states/eV/atom
symmetry	R-3m, No. 166

Cell lengths 3.723, 3.723, 10.360 Å; angles 79.65, 79.65, 60.00 degrees
Site moments in Bohr magnetons follow the coordinates.
Fractional positions:
Se 0.776 0.776 0.672  -0.04
Se 0.224 0.224 0.328  -0.04
Ti 0.601 0.601 0.197  0.90
Ti 0.399 0.399 0.803  0.90
Te 0.000 0.000 0.000  -0.06

---

A relaxed structure of Ti3Te4Se2, computed with GGA-PBE.

Computed properties:
DOS(E_F)	0.551	states/eV/atom
symmetry	P-6m2, No. 187

Cell lengths 3.655, 3.655, 21.931 Å; angles 90.00, 90.00, 120.00 degrees
Site moments in Bohr magnetons follow the coordinates.
Fractional positions:
Se 0.000 0.000 0.928  -0.01
Se 0.000 0.000 0.072  -0.01
Te 0.667 0.333 0.233  0.00
Te 0.667 0.333 0.399  0.00
Te 0.667 0.333 0.767  0.00
Te 0.667 0.333 0.601  0.00
Ti 0.667 0.333 0.000  0.07
Ti 0.000 0.000 0.684  0.00
Ti 0.000 0.000 0.316  0.00

---

A relaxed structure of Ti3TeSe, computed with GGA-PBE.

Computed properties:
energy relative to the lowest polymorph listed for this composition	1.2309	eV/atom
DOS(E_F)	1.433	states/eV/atom
symmetry	Pm-3m, No. 221

Cell lengths 5.085, 5.085, 5.085 Å; angles 90.00, 90.00, 90.00 degrees
Site moments in Bohr magnetons follow the coordinates.
Fractional positions:
Se 0.500 0.500 0.500  -0.06
Ti 0.000 0.000 0.500  1.64
Ti 0.000 0.500 0.000  1.32
Ti 0.500 0.000 0.000  1.25
Te 0.000 0.000 0.000  -0.01

---

A relaxed structure of TiTeSe4, computed with GGA-PBE.

Computed properties:
symmetry	C2/m, No. 12

Cell lengths 3.765, 6.726, 13.304 Å; angles 90.66, 90.00, 90.00 degrees
Fractional positions:
Te 0.000 0.000 0.500
Te 0.500 0.500 0.000
Se 0.500 0.808 0.619
Se 0.000 0.350 0.612
Se 0.000 0.308 0.119
Se 0.000 0.692 0.881
Se 0.500 0.150 0.888
Se 0.000 0.650 0.388
Se 0.500 0.192 0.381
Se 0.500 0.850 0.112
Ti 0.000 0.000 0.000
Ti 0.500 0.500 0.500

---

A relaxed structure of TiTe2Se, computed with GGA-PBE.

Computed properties:
DOS(E_F)	1.037	states/eV/atom
symmetry	R-3m, No. 166

Cell lengths 9.132, 9.132, 9.132 Å; angles 23.99, 23.99, 23.99 degrees
Fractional positions:
Te 0.897 0.897 0.897
Te 0.103 0.103 0.103
Se 0.000 0.000 0.000
Ti 0.500 0.500 0.500

---

A relaxed structure of Ti6Te3Se, computed with GGA-PBE.

Computed properties:
DOS(E_F)	0.883	states/eV/atom
symmetry	Cmc2_1, No. 36

Cell lengths 6.370, 8.138, 8.138 Å; angles 101.53, 90.00, 90.00 degrees
Fractional positions:
Ti 0.206 0.414 0.928
Ti 0.206 0.072 0.586
Ti 0.706 0.928 0.414
Ti 0.173 0.413 0.269
Ti 0.626 0.246 0.754
Ti 0.126 0.754 0.246
Ti 0.673 0.269 0.413
Ti 0.673 0.587 0.731
Ti 0.173 0.731 0.587
Ti 0.251 0.028 0.972
Ti 0.751 0.972 0.028
Ti 0.706 0.586 0.072
Te 0.822 0.592 0.408
Te 0.028 0.716 0.903
Te 0.028 0.097 0.284
Te 0.528 0.284 0.097
Te 0.528 0.903 0.716
Te 0.322 0.408 0.592
Se 0.972 0.160 0.840
Se 0.472 0.840 0.160

---

A relaxed structure of Ti2Te2Se, computed with GGA-PBE.

Computed properties:
energy relative to the lowest polymorph listed for this composition	0.0000	eV/atom
DOS(E_F)	0.333	states/eV/atom
symmetry	C2/m, No. 12

Cell lengths 5.538, 6.800, 7.802 Å; angles 111.26, 90.00, 114.03 degrees
Fractional positions:
Te 0.013 0.027 0.745
Te 0.661 0.322 0.604
Te 0.987 0.973 0.255
Te 0.339 0.678 0.396
Ti 0.487 0.974 0.788
Ti 0.513 0.026 0.212
Ti 0.195 0.390 0.587
Ti 0.805 0.610 0.413
Se 0.336 0.671 0.915
Se 0.664 0.329 0.085

---

A relaxed structure of Ti5Te2Se, computed with GGA-PBE.

Computed properties:
DOS(E_F)	0.750	states/eV/atom
symmetry	Cmcm, No. 63

Cell lengths 4.803, 6.925, 11.675 Å; angles 90.00, 90.00, 110.29 degrees
Fractional positions:
Ti 0.301 0.602 0.471
Ti 0.301 0.602 0.029
Ti 0.699 0.398 0.971
Ti 0.102 0.204 0.370
Ti 0.295 0.590 0.750
Ti 0.699 0.398 0.529
Ti 0.898 0.796 0.870
Ti 0.898 0.796 0.630
Ti 0.705 0.410 0.250
Ti 0.102 0.204 0.130
Te 0.889 0.778 0.396
Te 0.889 0.778 0.104
Te 0.111 0.222 0.604
Te 0.111 0.222 0.896
Se 0.267 0.535 0.250
Se 0.733 0.465 0.750

---

A relaxed structure of Ti2Te3Se, computed with GGA-PBE.

Computed properties:
DOS(E_F)	0.359	states/eV/atom
symmetry	P-3m1, No. 164

Cell lengths 7.065, 7.366, 7.366 Å; angles 120.00, 90.00, 90.00 degrees
Fractional positions:
Te 0.253 0.834 0.166
Te 0.747 0.667 0.834
Te 0.747 0.166 0.834
Te 0.747 0.166 0.333
Te 0.253 0.333 0.166
Te 0.253 0.834 0.667
Ti 0.000 0.000 0.000
Ti 0.000 0.500 0.000
Ti 0.000 0.500 0.500
Ti 0.000 0.000 0.500
Se 0.205 0.333 0.667
Se 0.795 0.667 0.333

---

A relaxed structure of TiTlTeSe, computed with GGA-PBE.

Computed properties:
DOS(E_F)	0.531	states/eV/atom
symmetry	R3m, No. 160

Cell lengths 3.723, 3.723, 8.994 Å; angles 78.05, 78.05, 60.00 degrees
Site moments in Bohr magnetons follow the coordinates.
Fractional positions:
Ti 0.363 0.363 0.911  0.48
Se 0.640 0.640 0.081  -0.02
Te 0.766 0.766 0.703  -0.03
Tl 0.210 0.210 0.369  0.00

---

A relaxed structure of TiV2Te2Se4, computed with GGA-PBE.

Computed properties:
DOS(E_F)	0.462	states/eV/atom
symmetry	P3m1, No. 156

Cell lengths 3.433, 3.433, 21.853 Å; angles 90.00, 90.00, 120.00 degrees
Site moments in Bohr magnetons follow the coordinates.
Fractional positions:
Ti 0.000 0.000 0.331  -0.01
Te 0.667 0.333 0.242  0.00
Te 0.667 0.333 0.418  0.00
Se 0.667 0.333 0.899  -0.08
Se 0.000 0.000 0.586  -0.08
Se 0.000 0.000 0.730  -0.07
Se 0.667 0.333 0.043  -0.08
V 0.667 0.333 0.658  0.98
V 0.000 0.000 0.971  1.01

---

A relaxed structure of Y2TiTeSe, computed with GGA-PBE.

Computed properties:
DOS(E_F)	0.663	states/eV/atom
symmetry	P4/mmm, No. 123

Cell lengths 5.547, 4.647, 5.547 Å; angles 90.00, 90.00, 90.00 degrees
Fractional positions:
Y 0.500 0.000 0.000
Y 0.000 0.000 0.500
Se 0.000 0.500 0.000
Te 0.500 0.500 0.500
Ti 0.000 0.000 0.000

---

A relaxed structure of Tl2TeSe2, computed with GGA-PBE.

Computed properties:
DOS(E_F)	0.189	states/eV/atom
symmetry	P4/mbm, No. 127

Cell lengths 7.873, 7.873, 4.919 Å; angles 90.00, 90.00, 90.00 degrees
Fractional positions:
Te 0.000 0.000 0.000
Te 0.500 0.500 0.000
Tl 0.650 0.850 0.500
Tl 0.350 0.150 0.500
Tl 0.850 0.350 0.500
Tl 0.150 0.650 0.500
Se 0.826 0.674 0.000
Se 0.326 0.826 0.000
Se 0.174 0.326 0.000
Se 0.674 0.174 0.000

---

A relaxed structure of TlTeSe2, computed with GGA-PBE.

Computed properties:
energy relative to the lowest polymorph listed for this composition	0.0382	eV/atom
DOS(E_F)	0.271	states/eV/atom
symmetry	P4mm, No. 99

Cell lengths 4.185, 4.184, 7.741 Å; angles 90.00, 90.00, 90.00 degrees
Fractional positions:
Se 0.500 0.500 0.354
Se 0.000 0.000 0.990
Te 0.000 0.000 0.319
Tl 0.500 0.500 0.838

---

A relaxed structure of Tl6Te3Se, computed with GGA-PBE.

Computed properties:
energy relative to the lowest polymorph listed for this composition	0.0354	eV/atom
DOS(E_F)	0.527	states/eV/atom
symmetry	R3, No. 146

Cell lengths 8.411, 8.411, 7.990 Å; angles 58.24, 58.24, 60.00 degrees
Fractional positions:
Te 0.127 0.127 0.618
Te 0.621 0.621 0.137
Te 0.377 0.377 0.868
Tl 0.750 0.017 0.747
Tl 0.485 0.750 0.747
Tl 0.230 0.983 0.245
Tl 0.017 0.485 0.747
Tl 0.983 0.543 0.245
Tl 0.543 0.230 0.245
Se 0.866 0.866 0.401

---

A relaxed structure of Tl5Te2Se5, computed with GGA-PBE.

Computed properties:
DOS(E_F)	0.287	states/eV/atom
symmetry	C2/m, No. 12

Cell lengths 5.024, 7.274, 12.308 Å; angles 103.81, 90.00, 110.20 degrees
Fractional positions:
Se 0.873 0.745 0.591
Se 0.127 0.255 0.409
Se 0.000 0.000 0.000
Se 0.374 0.748 0.204
Se 0.626 0.252 0.796
Tl 0.744 0.489 0.350
Tl 0.651 0.302 0.056
Tl 0.349 0.698 0.944
Tl 0.500 0.000 0.500
Tl 0.256 0.511 0.650
Te 0.962 0.924 0.224
Te 0.038 0.076 0.776

---

A relaxed structure of Tl7TeSe4, computed with GGA-PBE.

Computed properties:
DOS(E_F)	0.353	states/eV/atom
symmetry	Cm, No. 8

Cell lengths 4.508, 7.898, 12.536 Å; angles 107.83, 90.00, 106.58 degrees
Fractional positions:
Tl 0.045 0.089 0.798
Tl 0.352 0.705 0.950
Tl 0.240 0.480 0.646
Tl 0.503 0.007 0.503
Tl 0.960 0.920 0.213
Tl 0.732 0.464 0.343
Tl 0.669 0.337 0.048
Se 0.342 0.684 0.208
Se 0.009 0.018 0.012
Se 0.659 0.319 0.779
Se 0.115 0.229 0.408
Te 0.874 0.748 0.593

---

A relaxed structure of TlTeSe, computed with GGA-PBE.

Computed properties:
energy relative to the lowest polymorph listed for this composition	0.0136	eV/atom
DOS(E_F)	0.243	states/eV/atom
symmetry	P-1, No. 2

Cell lengths 4.913, 5.977, 7.673 Å; angles 82.07, 93.71, 69.90 degrees
Fractional positions:
Se 0.637 0.291 0.355
Se 0.809 0.901 0.685
Tl 0.307 0.896 0.349
Tl 0.139 0.296 0.691
Te 0.644 0.370 0.017
Te 0.801 0.822 0.023

---

A relaxed structure of TlTeSe2, computed with GGA-PBE.

Computed properties:
energy relative to the lowest polymorph listed for this composition	0.0471	eV/atom
DOS(E_F)	0.421	states/eV/atom
symmetry	C2/m, No. 12

Cell lengths 4.403, 4.403, 7.290 Å; angles 73.54, 73.54, 61.95 degrees
Fractional positions:
Se 0.994 0.994 0.966
Se 0.506 0.506 0.534
Tl 0.250 0.250 0.250
Te 0.750 0.750 0.750

---

A relaxed structure of TlTe2Se, computed with GGA-PBE.

Computed properties:
DOS(E_F)	0.601	states/eV/atom
symmetry	R-3m, No. 166

Cell lengths 7.996, 7.996, 7.996 Å; angles 31.00, 31.00, 31.00 degrees
Fractional positions:
Te 0.006 0.006 0.006
Te 0.494 0.494 0.494
Se 0.750 0.750 0.750
Tl 0.250 0.250 0.250

---

Calculated E_form (uncorrected) (eV per atom), listed in the same order as above: -0.866; -0.704; 0.666; -0.540; -0.275; -0.437; -0.766; -0.256; -0.800; -0.685; -0.623; -0.345; -0.170; -0.109; -0.217; -0.184; -0.292; -0.155; -0.100; 0.064
Calculated final energy (eV per formula unit), listed in the same order as above: -30.2; -49.6; -27.0; -28.2; -18.8; -64.7; -29.4; -51.3; -33.5; -19.6; -52.0; -29.2; -15.7; -12.9; -29.3; -37.7; -37.1; -9.5; -12.9; -11.9